# CsHIrBr6

CsHIrBr6 after structural relaxation (PBE, Alexandria via LeMat-Bulk).

## Properties
Spin magnetization ... 1.049 μB/f.u.
Calculated density ... 4.20 g cm⁻³
Total DFT energy (no corrections) ... -3.11 eV/atom
Calculated volume ... 35.37 Å³ per atom
Space-group type ... No. 1

a b c (Å): 7.4953 9.2213 6.8735
angles (deg): 83.73 87.37 42.45
With the nearest neighbours (Å) after each atom.
Atoms (fractional coordinates):
Cs 0.0100 0.0916 0.1331  8 Br 3.68-3.94
H 0.9147 0.7682 0.6629  1 Br 1.60
Ir 0.2921 0.3074 0.4516  6 Br 2.46-2.55
Br 0.8530 0.5503 0.2874  1 Ir 2.46
Br 0.2612 0.0721 0.6172  1 Ir 2.50
Br 0.7468 0.0548 0.6239  1 H 1.90
Br 0.0749 0.5263 0.7449  1 H 1.60
Br 0.3422 0.5361 0.3079  1 Ir 2.50
Br 0.5051 0.0931 0.1712  1 Ir 2.46